# 1
# HfTa2B6 (PBE, relaxed)
# - Electronic total energy: -80.711 eV for the cell shown
# - Density: 11.80 g cm⁻³
data_HfTa2B6
_space_group_name_H-M_alt 'P 6/m m m'
_space_group_IT_number 191
_space_group_name_Hall '-P 6 2'
_cell_length_a 5.3977
_cell_length_b 5.3977
_cell_length_c 3.3745
_cell_angle_alpha 90.00
_cell_angle_beta 90.00
_cell_angle_gamma 120.00
loop_
_atom_site_label
_atom_site_type_symbol
_atom_site_fract_x
_atom_site_fract_y
_atom_site_fract_z
Hf1 Hf 0.0000 0.0000 0.0000
Ta1 Ta 0.3333 0.6667 0.0000
B1 B 0.0000 0.3349 0.5000

=====

# 2
# HfTaB3 (PBE, relaxed)
# - Electronic total energy: -37.741 eV for the cell shown
# - Polymorph energy (0 for the lowest one): 40.28 kcal/mol of atoms
# - Density: 9.17 g cm⁻³
data_HfTaB3
_space_group_name_H-M_alt 'P m -3 m'
_space_group_IT_number 221
_space_group_name_Hall '-P 4 2 3'
_cell_length_a 4.141
_cell_length_b 4.141
_cell_length_c 4.141
_cell_angle_alpha 90.00
_cell_angle_beta 90.00
_cell_angle_gamma 90.00
loop_
_atom_site_label
_atom_site_type_symbol
_atom_site_fract_x
_atom_site_fract_y
_atom_site_fract_z
Hf1 Hf 0.000 0.000 0.000
Ta1 Ta 0.500 0.500 0.500
B1 B 0.000 0.500 0.500

=====

# 3
# TbHfB4 (PBE, relaxed)
# - Electronic total energy: -90.413 eV for the cell shown
# - Density: 9.48 g cm⁻³
data_TbHfB4
_space_group_name_H-M_alt 'I -4 m 2'
_space_group_IT_number 119
_space_group_name_Hall 'I -4 -2'
_cell_length_a 3.427
_cell_length_b 3.427
_cell_length_c 11.355
_cell_angle_alpha 90.00
_cell_angle_beta 90.00
_cell_angle_gamma 90.00
loop_
_atom_site_label
_atom_site_type_symbol
_atom_site_fract_x
_atom_site_fract_y
_atom_site_fract_z
Tb1 Tb 0.000 0.000 0.000
Hf1 Hf 0.000 0.500 0.750
B1 B 0.000 0.000 0.414
B2 B 0.000 0.500 0.173

=====

# 4
# TbHf2B6 (PBE, relaxed)
# - Electronic total energy: -72.147 eV for the cell shown
# - Density: 10.03 g cm⁻³
data_TbHf2B6
_space_group_name_H-M_alt 'P 6/m m m'
_space_group_IT_number 191
_space_group_name_Hall '-P 6 2'
_cell_length_a 5.5443
_cell_length_b 5.5443
_cell_length_c 3.6110
_cell_angle_alpha 90.00
_cell_angle_beta 90.00
_cell_angle_gamma 120.00
loop_
_atom_site_label
_atom_site_type_symbol
_atom_site_fract_x
_atom_site_fract_y
_atom_site_fract_z
Tb1 Tb 0.0000 0.0000 0.0000
Hf1 Hf 0.3333 0.6667 0.0000
B1 B 0.0000 0.3389 0.5000

=====

# 5
# Hf3TcB7 (PBE, relaxed)
# - Electronic total energy: -383.945 eV for the cell shown
# - Density: 10.45 g cm⁻³
data_Hf3TcB7
_space_group_name_H-M_alt 'C m c m'
_space_group_IT_number 63
_space_group_name_Hall '-C 2c 2'
_cell_length_a 3.369
_cell_length_b 14.823
_cell_length_c 9.021
_cell_angle_alpha 90.00
_cell_angle_beta 90.00
_cell_angle_gamma 90.00
loop_
_atom_site_label
_atom_site_type_symbol
_atom_site_fract_x
_atom_site_fract_y
_atom_site_fract_z
Hf1 Hf 0.000 0.108 0.054
Hf2 Hf 0.000 0.248 0.750
Tc1 Tc 0.000 0.047 0.750
B1 B 0.000 0.273 0.033
B2 B 0.000 0.366 0.151
B3 B 0.000 0.439 0.750
B4 B 0.000 0.484 0.093

=====

# 6
# Hf2TcB (PBE, relaxed)
# - Electronic total energy: -145.952 eV for the cell shown
# - Density: 10.52 g cm⁻³
data_Hf2TcB
_space_group_name_H-M_alt 'I -4 2 d'
_space_group_IT_number 122
_space_group_name_Hall 'I -4 2bw'
_cell_length_a 8.488
_cell_length_b 8.488
_cell_length_c 4.081
_cell_angle_alpha 90.00
_cell_angle_beta 90.00
_cell_angle_gamma 90.00
loop_
_atom_site_label
_atom_site_type_symbol
_atom_site_fract_x
_atom_site_fract_y
_atom_site_fract_z
Hf1 Hf 0.106 0.750 0.125
Tc1 Tc 0.000 0.000 0.500
B1 B 0.000 0.000 0.000